Computed, not measured: crystalline MnCu2Rh at its relaxed geometry at the GGA-PBE level of DFT.

abc: 3.090 3.090 5.514
angles: 90.00 90.00 90.00
Sites, in units of the cell vectors:
1 Mn 0.000 0.000 0.497
2 Rh 0.500 0.500 0.747
3 Cu 0.500 0.500 0.241
4 Cu 0.000 0.000 0.015

Values from the calculation:
Spin magnetization in μB/cell: 4.2
Total DFT energy (no corrections) in eV per atom: -6.191